YPtCl, relaxed, DFT GGA-PBE; size of the total moment = 0.00 μB per formula unit; calculated total energy = -0.4452 Ry per atom; E_form (uncorrected) = -1.274 eV per atom
1.0
3.880 0.000 0.000
-1.940 3.360 0.000
0.000 0.000 6.395
Cl Pt Y
1 1 1
direct
0.000 0.000 0.930
0.667 0.333 0.412
0.333 0.667 0.658